An optimized crystal structure of TbDy6Y2Th3. Source: Alexandria, functional PBE.

- Energy of formation from the pure elements: 0.02 eV per atom

```
data_TbDy6Y2Th3
_cell_length_a 6.180
_cell_length_b 10.699
_cell_length_c 11.745
_cell_angle_alpha 90.00
_cell_angle_beta 100.12
_cell_angle_gamma 90.00
_symmetry_space_group_name_H-M 'C 1 2/m 1'
_symmetry_Int_Tables_number 12
loop_
_symmetry_equiv_pos_as_xyz
'x,y,z'
'-x,-y,-z'
'-x,y,-z'
'x,-y,z'
'x+1/2,y+1/2,z'
'-x+1/2,-y+1/2,-z'
'-x+1/2,y+1/2,-z'
'x+1/2,-y+1/2,z'
loop_
_atom_site_label
_atom_site_type_symbol
_atom_site_fract_x
_atom_site_fract_y
_atom_site_fract_z
Tb1 Tb 0.000 0.000 0.000
Dy1 Dy 0.248 0.000 0.746
Dy2 Dy 0.249 0.334 0.746
Y1 Y 0.000 0.333 0.000
Th1 Th 0.000 0.167 0.500
Th2 Th 0.000 0.500 0.500
```

=====

An optimized crystal structure of ThPa2Si. Source: Alexandria, functional PBE.

- Raw formation energy: 0.013 eV per atom
- E above lowest polymorph: 190 meV/atom

```
data_ThPa2Si
_cell_length_a 3.5611
_cell_length_b 3.5611
_cell_length_c 28.3994
_cell_angle_alpha 90.00
_cell_angle_beta 90.00
_cell_angle_gamma 120.00
_symmetry_space_group_name_H-M 'R -3 m'
_symmetry_Int_Tables_number 166
_symmetry_space_group_name_Hall '-R 3 2"'
loop_
_atom_site_label
_atom_site_type_symbol
_atom_site_fract_x
_atom_site_fract_y
_atom_site_fract_z
Th1 Th 0.0000 0.0000 0.0000
Pa1 Pa 0.0000 0.0000 0.2347
Si1 Si 0.0000 0.0000 0.5000
```

=====

An optimized crystal structure of AcNi3Ge3. Source: Alexandria, functional PBE.

- E above lowest polymorph: 57 meV/atom
- Energy of formation from the pure elements: -0.27 eV per atom

```
data_AcNi3Ge3
_cell_length_a 6.5775
_cell_length_b 6.5775
_cell_length_c 21.8470
_cell_angle_alpha 90.00
_cell_angle_beta 90.00
_cell_angle_gamma 120.00
_symmetry_space_group_name_H-M 'R -3'
_symmetry_Int_Tables_number 148
_symmetry_space_group_name_Hall '-R 3'
loop_
_atom_site_label
_atom_site_type_symbol
_atom_site_fract_x
_atom_site_fract_y
_atom_site_fract_z
Ac1 Ac 0.0000 0.0000 0.1644
Ni1 Ni 0.0127 0.2467 0.9545
Ge1 Ge 0.0312 0.4269 0.0590
```

=====

An optimized crystal structure of YHoInRu. Source: Alexandria, functional PBE.

- E above lowest polymorph: 0 meV/atom
- Energy of formation from the pure elements: -0.47 eV per atom

```
data_YHoInRu
_cell_length_a 3.470
_cell_length_b 3.470
_cell_length_c 7.712
_cell_angle_alpha 90.00
_cell_angle_beta 90.00
_cell_angle_gamma 90.00
_symmetry_space_group_name_H-M 'P 4 m m'
_symmetry_Int_Tables_number 99
loop_
_symmetry_equiv_pos_as_xyz
'x,y,z'
'-y,x,z'
'-x,-y,z'
'y,-x,z'
'-x,y,z'
'y,x,z'
'x,-y,z'
'-y,-x,z'
loop_
_atom_site_label
_atom_site_type_symbol
_atom_site_fract_x
_atom_site_fract_y
_atom_site_fract_z
Y1 Y 0.000 0.000 0.000
Ho1 Ho 0.000 0.000 0.573
In1 In 0.500 0.500 0.288
Ru1 Ru 0.500 0.500 0.782
```

=====

Copy entry 4 word for word.
An optimized crystal structure of YHoInRu. Source: Alexandria, functional PBE.

- E above lowest polymorph: 0 meV/atom
- Energy of formation from the pure elements: -0.47 eV per atom

```
data_YHoInRu
_cell_length_a 3.470
_cell_length_b 3.470
_cell_length_c 7.712
_cell_angle_alpha 90.00
_cell_angle_beta 90.00
_cell_angle_gamma 90.00
_symmetry_space_group_name_H-M 'P 4 m m'
_symmetry_Int_Tables_number 99
loop_
_symmetry_equiv_pos_as_xyz
'x,y,z'
'-y,x,z'
'-x,-y,z'
'y,-x,z'
'-x,y,z'
'y,x,z'
'x,-y,z'
'-y,-x,z'
loop_
_atom_site_label
_atom_site_type_symbol
_atom_site_fract_x
_atom_site_fract_y
_atom_site_fract_z
Y1 Y 0.000 0.000 0.000
Ho1 Ho 0.000 0.000 0.573
In1 In 0.500 0.500 0.288
Ru1 Ru 0.500 0.500 0.782
```

=====

- What is the formula in the first record?
  TbDy6Y2Th3